# 1
Below is a relaxed LiV3Si crystal, with properties calculated at the PBE level.

```
5
Lattice="4.464 0.000 0.000 0.000 4.464 0.000 0.000 0.000 4.464" Properties=species:S:1:pos:R:3 pbc="T T T"
Li 0.000 0.000 0.000
V 0.000 2.232 2.232
V 2.232 0.000 2.232
V 2.232 2.232 0.000
Si 2.232 2.232 2.232
```

distance to the lowest polymorph of the same formula = 0 meV per atom
final energy = -6.08 eV/atom

# 2
Below is a relaxed LiVSi2 crystal, with properties calculated at the PBE level.

```
4
Lattice="1.384 0.799 8.433 -1.384 0.799 8.433 0.000 -1.598 8.433" Properties=species:S:1:pos:R:3 pbc="T T T"
Li 0.000 0.000 0.000
V 0.000 0.000 12.650
Si 0.000 0.000 6.241
Si 0.000 0.000 19.059
```

distance to the lowest polymorph of the same formula = 105 meV per atom
final energy = -5.62 eV/atom

# 3
Below is a relaxed LiV3Si crystal, with properties calculated at the PBE level.

```
5
Lattice="4.060 0.000 0.000 0.000 4.060 0.000 0.000 0.000 4.060" Properties=species:S:1:pos:R:3 pbc="T T T"
Li 0.000 0.000 0.000
V 0.000 0.000 2.030
V 0.000 2.030 0.000
V 2.030 0.000 0.000
Si 2.030 2.030 2.030
```

distance to the lowest polymorph of the same formula = 47 meV per atom
final energy = -6.03 eV/atom

# 4
Below is a relaxed Li2VSi crystal, with properties calculated at the PBE level.

```
8
Lattice="-3.556 3.556 2.496 3.556 -3.556 2.496 3.556 3.556 -2.496" Properties=species:S:1:pos:R:3 pbc="T T T"
Li 5.333 1.627 -0.624
Li 1.627 1.778 0.624
Li -1.778 1.929 1.872
Li 1.929 1.778 3.120
V 3.556 0.000 1.248
V 0.000 0.000 2.496
Si 0.000 0.000 0.000
Si 0.000 3.556 1.248
```

final energy = -4.25 eV/atom

# 5
Below is a relaxed Li2VSi2 crystal, with properties calculated at the PBE level.

```
10
Lattice="6.802 0.000 0.000 0.000 6.802 0.000 0.000 0.000 2.846" Properties=species:S:1:pos:R:3 pbc="T T T"
Li 1.119 2.282 0.000
Li 2.282 5.683 0.000
Li 4.520 1.119 0.000
Li 5.683 4.520 0.000
V 0.000 0.000 1.423
V 3.401 3.401 1.423
Si 0.913 4.314 1.423
Si 2.488 0.913 1.423
Si 4.314 5.890 1.423
Si 5.890 2.488 1.423
```

final energy = -4.71 eV/atom

# 6
Below is a relaxed LiVSi2 crystal, with properties calculated at the PBE level.

```
8
Lattice="-3.286 3.286 2.621 3.286 -3.286 2.621 3.286 3.286 -2.621" Properties=species:S:1:pos:R:3 pbc="T T T"
Li 0.000 0.000 0.000
Li 0.000 3.286 1.311
V 3.286 0.000 1.311
V 0.000 0.000 2.621
Si 4.928 1.572 -0.655
Si 1.572 1.643 0.655
Si -1.643 1.714 1.966
Si 1.714 1.643 3.276
```

distance to the lowest polymorph of the same formula = 544 meV per atom
final energy = -5.18 eV/atom

# 7
Below is a relaxed LiVSi2 crystal, with properties calculated at the PBE level.

```
4
Lattice="3.116 0.000 0.000 0.000 3.116 0.000 0.000 0.000 5.404" Properties=species:S:1:pos:R:3 pbc="T T T"
Li 0.000 0.000 0.000
V 0.000 0.000 2.702
Si 1.558 1.558 1.412
Si 1.558 1.558 3.993
```

distance to the lowest polymorph of the same formula = 97 meV per atom
final energy = -5.63 eV/atom

# 8
Below is a relaxed LiVSi2 crystal, with properties calculated at the PBE level.

```
4
Lattice="2.597 0.000 0.000 0.000 2.597 0.000 0.000 0.000 8.030" Properties=species:S:1:pos:R:3 pbc="T T T"
Li 0.000 0.000 0.000
V 0.000 0.000 4.015
Si 1.298 1.298 2.113
Si 1.298 1.298 5.917
```

distance to the lowest polymorph of the same formula = 0 meV per atom
final energy = -5.72 eV/atom

# 9
Below is a relaxed LiVSi2 crystal, with properties calculated at the PBE level.

```
4
Lattice="4.455 0.000 0.000 0.000 4.455 0.000 0.000 0.000 2.640" Properties=species:S:1:pos:R:3 pbc="T T T"
Li 0.000 0.000 0.000
V 2.227 2.227 0.000
Si 0.000 2.227 1.320
Si 2.227 0.000 1.320
```

distance to the lowest polymorph of the same formula = 145 meV per atom
final energy = -5.58 eV/atom

# 10
Below is a relaxed Li2VSi crystal, with properties calculated at the PBE level.

```
4
Lattice="1.308 0.755 9.687 -1.308 0.755 9.687 0.000 -1.510 9.687" Properties=species:S:1:pos:R:3 pbc="T T T"
Li 0.000 0.000 2.644
Li 0.000 0.000 26.419
V 0.000 0.000 0.000
Si 0.000 0.000 14.531
```

final energy = -4.32 eV/atom

# 11
Below is a relaxed Li2SiW crystal, with properties calculated at the PBE level.

```
4
Lattice="1.517 -2.132 0.000 1.517 2.132 0.000 0.000 0.000 9.208" Properties=species:S:1:pos:R:3 pbc="T T T"
Li 0.000 0.000 2.163
Li 0.000 0.000 7.045
Si 1.517 0.000 0.000
W 1.517 0.000 4.604
```

final energy = -5.33 eV/atom

# 12
Below is a relaxed Li2SiW crystal, with properties calculated at the PBE level.

```
4
Lattice="3.557 0.000 0.000 0.000 3.557 0.000 0.000 0.000 4.391" Properties=species:S:1:pos:R:3 pbc="T T T"
Li 0.000 1.779 0.000
Li 1.779 0.000 0.000
Si 0.000 0.000 2.196
W 1.779 1.779 2.196
```

final energy = -5.41 eV/atom